## Dy4MgRu (PBE)

Data for a relaxed Dy4MgRu crystal.

a = 9.6905 Å, b = 9.6905 Å, c = 9.6905 Å
α = 60.00°, β = 60.00°, γ = 60.00°
Closest atoms and distances in Å follow each position.
Atoms (fractional coordinates):
Dy: 0.0315 0.6562 0.6562  3 Ru 2.83
Dy: 0.0620 0.0620 0.4380  2 Mg 3.32, 2 Ru 3.50, 10 Dy 3.50-3.64
Dy: 0.0620 0.4380 0.0620  2 Mg 3.32, 2 Ru 3.50, 10 Dy 3.50-3.64
Dy: 0.0620 0.4380 0.4380  2 Mg 3.32, 2 Ru 3.50, 10 Dy 3.50-3.64
Dy: 0.1872 0.1872 0.8128  2 Ru 2.77
Dy: 0.1872 0.8128 0.1872  2 Ru 2.77
Dy: 0.1872 0.8128 0.8128  2 Ru 2.77
Dy: 0.4380 0.0620 0.0620  2 Mg 3.32, 2 Ru 3.50, 10 Dy 3.50-3.64
Dy: 0.4380 0.0620 0.4380  2 Mg 3.32, 2 Ru 3.50, 10 Dy 3.50-3.64
Dy: 0.4380 0.4380 0.0620  2 Mg 3.32, 2 Ru 3.50, 10 Dy 3.50-3.64
Dy: 0.6562 0.0315 0.6562  3 Ru 2.83
Dy: 0.6562 0.6562 0.0315  3 Ru 2.83
Dy: 0.6562 0.6562 0.6562  3 Ru 2.83
Dy: 0.8128 0.1872 0.1872  2 Ru 2.77
Dy: 0.8128 0.1872 0.8128  2 Ru 2.77
Dy: 0.8128 0.8128 0.1872  2 Ru 2.77
Mg: 0.4207 0.4207 0.4207  3 Mg 3.07, 3 Dy 3.32
Mg: 0.4207 0.4207 0.7378  3 Mg 3.07, 3 Dy 3.32
Mg: 0.4207 0.7378 0.4207  3 Mg 3.07, 3 Dy 3.32
Mg: 0.7378 0.4207 0.4207  3 Mg 3.07, 3 Dy 3.32
Ru: 0.4170 0.8610 0.8610  6 Dy 2.77-2.83
Ru: 0.8610 0.4170 0.8610  6 Dy 2.77-2.83
Ru: 0.8610 0.8610 0.4170  6 Dy 2.77-2.83
Ru: 0.8610 0.8610 0.8610  6 Dy 2.77-2.83

## Properties
Formation energy from the elements = -0.2487 eV/atom
Calculated volume = 26.81 Å³ per atom
Magnetization = 0.0 μB/f.u.